No. 1
PBE YEr5Al6, optimized geometry; uncorrected energy = -4.710 eV/atom; space group = No. 65; Fermi-level density of states = 4.6 states/eV/f.u.; calculated formation energy = -38 kJ/mol of atoms
1.0
-4.7910 0.8033 -1.4019
-0.7449 -6.9473 -1.4349
-4.6879 -0.8254 6.4302
Y Al Er
1 6 5
direct
0.0000 0.0000 0.0000
0.8326 0.7485 0.3348
0.8326 0.2515 0.3348
0.5001 0.2511 0.0000
0.4999 0.7489 0.0000
0.1674 0.7485 0.6652
0.1674 0.2515 0.6652
0.6661 0.5000 0.6677
0.3330 0.0000 0.3340
0.0000 0.5000 0.0000
0.6670 0.0000 0.6660
0.3339 0.5000 0.3323

***

No. 2
PBE Y2Er3Al2, optimized geometry; uncorrected energy = -5.033 eV/atom; space group = No. 65; E above lowest polymorph = 57 meV per atom; Fermi-level density of states = 6.9 states/eV/f.u.; calculated formation energy = -16 kJ/mol of atoms
1.0
3.4176 0.0000 0.4535
0.0000 3.4519 0.0000
-0.3970 0.0000 16.0944
Y Er Al
2 3 2
direct
0.7017 0.5000 0.5965
0.2983 0.5000 0.4035
0.8792 0.0000 0.2415
0.0000 0.0000 0.0000
0.1208 0.0000 0.7585
0.5606 0.5000 0.8788
0.4394 0.5000 0.1212

***

No. 3
PBE YEr7Al4, optimized geometry; uncorrected energy = -4.494 eV/atom; space group = No. 12; Fermi-level density of states = 12.7 states/eV/f.u.; calculated formation energy = -4 kJ/mol of atoms
1.0
5.4430 0.0000 0.0000
2.7215 8.5822 0.3021
2.7215 0.5497 6.8531
Y Er Al
1 7 4
direct
0.0000 0.0000 0.0000
0.7858 0.8770 0.5514
0.2142 0.1230 0.4486
0.0652 0.6104 0.2593
0.9348 0.3896 0.7407
0.2990 0.6434 0.7586
0.5000 0.0000 0.0000
0.7010 0.3566 0.2414
0.5554 0.2356 0.6536
0.4446 0.7644 0.3464
0.6773 0.6676 0.9777
0.3227 0.3324 0.0223

***

No. 4
PBE Y2Er2Al3, optimized geometry; uncorrected energy = -5.029 eV/atom; space group = No. 12; E above lowest polymorph = 11 meV per atom; Fermi-level density of states = 7.4 states/eV/f.u.; calculated formation energy = -26 kJ/mol of atoms
1.0
-3.3978 -1.4053 0.8271
0.1680 1.0575 -6.1094
3.6804 -7.5750 2.2617
Y Er Al
2 2 3
direct
0.8809 0.7618 0.5486
0.1191 0.2382 0.4514
0.6402 0.2809 0.8276
0.3598 0.7191 0.1724
0.0000 0.0000 0.0000
0.6574 0.3142 0.1980
0.3426 0.6858 0.8020

***

No. 5
PBE Y6ErAl2, optimized geometry; uncorrected energy = -5.827 eV/atom; space group = No. 12; Fermi-level density of states = 11.7 states/eV/f.u.; calculated formation energy = -17 kJ/mol of atoms
1.0
-1.5742 1.3988 -3.0022
-6.0905 -2.3947 -0.1619
-6.4648 8.2507 4.9944
Y Er Al
6 1 2
direct
0.6864 0.5040 0.1232
0.3136 0.4960 0.8768
0.3119 0.7870 0.5891
0.9762 0.7200 0.3277
0.0238 0.2800 0.6723
0.6881 0.2130 0.4109
0.0000 0.0000 0.0000
0.3513 0.0965 0.2010
0.6487 0.9035 0.7990

***

No. 6
PBE Y4ErAl4, optimized geometry; uncorrected energy = -5.221 eV/atom; space group = No. 86; Fermi-level density of states = 7.8 states/eV/f.u.; calculated formation energy = -17 kJ/mol of atoms
1.0
-0.5490 5.7719 -0.1936
-3.4120 -0.5967 -8.1142
-8.0931 -0.6540 3.4512
Y Er Al
8 2 8
direct
0.3837 0.4261 0.8325
0.8837 0.6675 0.9261
0.3837 0.5739 0.1675
0.1163 0.0739 0.6675
0.6163 0.8325 0.5739
0.1163 0.9261 0.3325
0.8837 0.3325 0.0739
0.6163 0.1675 0.4261
0.0000 0.0000 0.0000
0.5000 0.5000 0.5000
0.6004 0.9061 0.1939
0.6004 0.0939 0.8061
0.1004 0.6939 0.5939
0.8996 0.4061 0.6939
0.8996 0.5939 0.3061
0.3996 0.1939 0.0939
0.3996 0.8061 0.9061
0.1004 0.3061 0.4061

***

No. 7
PBE YEr2Al, optimized geometry; uncorrected energy = -5.028 eV/atom; space group = No. 123; E above lowest polymorph = 5 meV per atom; Fermi-level density of states = 4.3 states/eV/f.u.; calculated formation energy = -19 kJ/mol of atoms
1.0
-0.4677 -0.7832 3.3863
1.1124 -3.2709 -0.6028
8.3916 2.5325 1.7447
Y Al Er
1 1 2
direct
0.5000 0.5000 0.5000
0.5000 0.5000 0.0000
0.0000 0.0000 0.7882
0.0000 0.0000 0.2118

***

No. 8
PBE YEr6Al2, optimized geometry; uncorrected energy = -4.769 eV/atom; space group = No. 12; Fermi-level density of states = 11.1 states/eV/f.u.; calculated formation energy = -17 kJ/mol of atoms
1.0
3.5820 0.0000 0.5687
1.5722 6.0576 1.6626
0.0143 -0.0959 11.4756
Y Er Al
1 6 2
direct
0.0000 0.0000 0.0000
0.6880 0.4991 0.1249
0.3120 0.5009 0.8751
0.3110 0.7912 0.5868
0.9795 0.7088 0.3322
0.0205 0.2912 0.6678
0.6890 0.2088 0.4132
0.3519 0.0889 0.2074
0.6481 0.9111 0.7926

***

No. 9
PBE YEr2Al, optimized geometry; uncorrected energy = -4.726 eV/atom; space group = No. 166; E above lowest polymorph = 307 meV per atom; Fermi-level density of states = 4.8 states/eV/f.u.; calculated formation energy = 10 kJ/mol of atoms
1.0
-0.8679 1.7294 2.8441
-3.2776 0.0622 1.0423
0.4240 -8.7523 7.5316
Y Al Er
1 1 2
direct
0.0000 0.0000 0.0000
0.5000 0.5000 0.5000
0.1000 0.1000 0.6999
0.9000 0.9000 0.3001

***

No. 10
PBE YEr6Al, optimized geometry; uncorrected energy = -4.651 eV/atom; space group = No. 148; Fermi-level density of states = 11.0 states/eV/f.u.; calculated formation energy = 5 kJ/mol of atoms
1.0
9.0999 0.0137 0.1982
4.5449 7.1211 -0.1513
4.4677 2.2412 3.6841
Y Er Al
1 6 1
direct
0.5000 0.5000 0.5000
0.0372 0.4446 0.7569
0.7612 0.9631 0.7202
0.5555 0.2386 0.1690
0.2388 0.0369 0.2798
0.9628 0.5554 0.2431
0.4445 0.7614 0.8310
0.0000 0.0000 0.0000

***

No. 11
PBE Y2Er4Al, optimized geometry; uncorrected energy = -5.031 eV/atom; space group = No. 166; Fermi-level density of states = 8.5 states/eV/f.u.; calculated formation energy = -4 kJ/mol of atoms
1.0
3.5597 0.0000 0.0000
1.7798 3.0828 0.0000
1.7798 1.0276 18.8498
Y Er Al
2 4 1
direct
0.8079 0.8079 0.5764
0.1921 0.1921 0.4236
0.6271 0.6271 0.1188
0.9094 0.9094 0.2719
0.3729 0.3729 0.8812
0.0906 0.0906 0.7281
0.0000 0.0000 0.0000

***

No. 12
PBE YEr2Al2, optimized geometry; uncorrected energy = -4.764 eV/atom; space group = No. 11; E above lowest polymorph = 176 meV per atom; Fermi-level density of states = 5.4 states/eV/f.u.; calculated formation energy = -14 kJ/mol of atoms
1.0
3.6083 0.0000 0.0000
0.0000 5.5613 -0.0138
0.0000 -1.3842 13.1884
Y Er Al
2 4 4
direct
0.2500 0.6802 0.2348
0.7500 0.3198 0.7652
0.2500 0.8471 0.8887
0.7500 0.1529 0.1113
0.2500 0.2594 0.5376
0.7500 0.7406 0.4624
0.2500 0.7926 0.6592
0.7500 0.2074 0.3408
0.2500 0.3499 0.9572
0.7500 0.6501 0.0428